1.
First-principles (PBE) data for a relaxed Li2TbPt crystal, as listed in the Alexandria database.

Total moment, μB/cell: 0.00
Fermi-level density of states, states/eV/cell: 2.7
Energy relative to the lowest polymorph listed for this composition, eV/atom: 0.000
DFT formation energy, eV per atom: -0.57

Lattice parameters (Å, degrees): 5.233 5.550 5.665 90.00 90.00 110.51
Sites, in units of the cell vectors:
Pt 0.098 0.329 0.750
Li 0.564 0.272 0.969
Tb 0.963 0.789 0.750
Li 0.436 0.728 0.469
Pt 0.902 0.671 0.250
Tb 0.037 0.211 0.250
Li 0.436 0.728 0.031
Li 0.564 0.272 0.531

---

2.
First-principles (PBE) data for a relaxed ReSi2Ni crystal, as listed in the Alexandria database.

Total moment, μB/cell: 0.00
Fermi-level density of states, states/eV/cell: 3.7
E_form (uncorrected), eV/atom: -0.115

Lattice parameters (Å, degrees): 4.150 4.150 4.150 60.00 60.00 60.00
Sites, in units of the cell vectors:
Si 0.750 0.750 0.750
Si 0.250 0.250 0.250
Re 0.500 0.500 0.500
Ni 0.000 0.000 0.000

---

3.
First-principles (PBE) data for a relaxed Gd2TmTl crystal, as listed in the Alexandria database.

Total moment, μB/cell: 15.14
Fermi-level density of states, states/eV/cell: 6.0
Energy relative to the lowest polymorph listed for this composition, eV/atom: 0.048
DFT formation energy, eV per atom: -0.16

Lattice parameters (Å, degrees): 3.673 3.673 8.946 90.00 90.00 90.00
Each line ends with the local moment (μB).
Sites, in units of the cell vectors:
Tm 0.500 0.500 0.500  0.21
Tl 0.500 0.500 0.000  -0.01
Gd 0.000 0.000 0.233  7.17
Gd 0.000 0.000 0.767  7.17

---

4.
First-principles (PBE) data for a relaxed Li2AgAu crystal, as listed in the Alexandria database.

Total moment, μB/cell: 0.00
Fermi-level density of states, states/eV/cell: 1.1
Energy relative to the lowest polymorph listed for this composition, eV/atom: 0.009
DFT formation energy, eV per atom: -0.38

Lattice parameters (Å, degrees): 5.022 5.022 5.022 134.10 134.08 66.95
Sites, in units of the cell vectors:
Li 0.000 0.000 0.000
Ag 0.500 0.500 0.000
Li 0.750 0.250 0.500
Au 0.250 0.750 0.500

---

5.
First-principles (PBE) data for a relaxed NaCo3Ru crystal, as listed in the Alexandria database.

Total moment, μB/cell: 3.87
Fermi-level density of states, states/eV/cell: 7.9
Energy relative to the lowest polymorph listed for this composition, eV/atom: 0.000
DFT formation energy, eV per atom: 1.23

Lattice parameters (Å, degrees): 4.525 4.525 4.525 90.00 90.00 90.00
Each line ends with the local moment (μB).
Sites, in units of the cell vectors:
Co 0.000 0.000 0.500  1.58
Co 0.500 0.000 0.000  0.83
Na 0.500 0.500 0.500  -0.01
Co 0.000 0.500 0.000  1.29
Ru 0.000 0.000 0.000  0.22

---

6.
First-principles (PBE) data for a relaxed CaTm7Hg4 crystal, as listed in the Alexandria database.

Total moment, μB/cell: 0.00
Fermi-level density of states, states/eV/cell: 11.7
DFT formation energy, eV per atom: -0.05

Lattice parameters (Å, degrees): 5.542 9.152 7.555 77.43 68.48 72.37
Sites, in units of the cell vectors:
Hg 0.569 0.219 0.642
Tm 0.783 0.875 0.560
Hg 0.690 0.666 0.953
Tm 0.217 0.125 0.440
Tm 0.940 0.384 0.737
Ca 0.000 0.000 0.000
Tm 0.060 0.616 0.263
Tm 0.311 0.625 0.752
Hg 0.310 0.334 0.047
Tm 0.689 0.375 0.248
Hg 0.431 0.781 0.358
Tm 0.500 0.000 0.000

---

7.
First-principles (PBE) data for a relaxed Na2NdTlCl6 crystal, as listed in the Alexandria database.

Total moment, μB/cell: 0.00
Fermi-level density of states, states/eV/cell: 0.0
E_form (uncorrected), eV/atom: -1.840

Lattice parameters (Å, degrees): 7.320 7.319 7.844 62.18 62.17 59.97
Sites, in units of the cell vectors:
Tl 0.803 0.803 0.590
Na 0.520 0.520 0.440
Cl 0.592 0.245 0.233
Cl 0.161 0.360 0.758
Cl 0.245 0.930 0.233
Cl 0.360 0.722 0.758
Cl 0.930 0.592 0.233
Na 0.008 0.008 0.977
Nd 0.322 0.322 0.035
Cl 0.722 0.160 0.758

---

8.
First-principles (PBE) data for a relaxed Na12CdSn3 crystal, as listed in the Alexandria database.

Total moment, μB/cell: 0.00
Fermi-level density of states, states/eV/cell: 7.0
DFT formation energy, eV per atom: -0.08

Lattice parameters (Å, degrees): 4.868 4.868 19.766 90.00 90.00 90.00
Sites, in units of the cell vectors:
Sn 0.000 0.000 0.248
Na 0.500 0.500 0.750
Na 0.500 0.000 0.871
Na 0.500 0.500 0.250
Na 0.000 0.500 0.625
Cd 0.000 0.000 0.000
Na 0.500 0.500 0.000
Na 0.000 0.500 0.871
Sn 0.000 0.000 0.500
Sn 0.000 0.000 0.752
Na 0.000 0.500 0.129
Na 0.500 0.000 0.625
Na 0.500 0.000 0.375
Na 0.500 0.000 0.129
Na 0.000 0.500 0.375
Na 0.500 0.500 0.500

---

9.
First-principles (PBE) data for a relaxed Rb2Zn2Br5 crystal, as listed in the Alexandria database.

Total moment, μB/cell: 0.00
Fermi-level density of states, states/eV/cell: 1.2
E_form (uncorrected), eV/atom: -1.089

Lattice parameters (Å, degrees): 5.588 7.854 8.152 107.50 90.00 110.84
Sites, in units of the cell vectors:
Br 0.341 0.683 0.078
Br 0.000 0.000 0.000
Zn 0.153 0.307 0.889
Zn 0.847 0.693 0.111
Rb 0.399 0.798 0.691
Rb 0.601 0.202 0.309
Br 0.851 0.703 0.421
Br 0.659 0.317 0.922
Br 0.149 0.297 0.579

---

10.
First-principles (PBE) data for a relaxed TlAg6Te4 crystal, as listed in the Alexandria database.

Total moment, μB/cell: 0.00
Fermi-level density of states, states/eV/cell: 4.7
E_form (uncorrected), eV/atom: -0.033
Energy relative to the lowest polymorph listed for this composition, eV/atom: 0.052

Lattice parameters (Å, degrees): 4.288 8.681 8.681 120.00 90.00 90.00
Sites, in units of the cell vectors:
Ag 0.500 0.199 0.801
Te 0.000 0.333 0.667
Te 0.500 0.819 0.639
Ag 0.500 0.603 0.801
Tl 0.000 0.000 0.000
Ag 0.000 0.550 0.099
Ag 0.000 0.550 0.450
Ag 0.500 0.199 0.397
Te 0.500 0.819 0.181
Te 0.500 0.361 0.181
Ag 0.000 0.901 0.450

---

11.
First-principles (PBE) data for a relaxed Pm6Er2Si crystal, as listed in the Alexandria database.

Total moment, μB/cell: 0.00
Fermi-level density of states, states/eV/cell: 11.8
E_form (uncorrected), eV/atom: 0.013

Lattice parameters (Å, degrees): 3.616 3.616 25.488 90.00 90.00 120.00
Sites, in units of the cell vectors:
Pm 0.333 0.667 0.207
Er 0.667 0.333 0.680
Pm 0.667 0.333 0.086
Pm 0.333 0.667 0.570
Si 0.333 0.667 0.000
Er 0.667 0.333 0.320
Pm 0.333 0.667 0.793
Pm 0.667 0.333 0.914
Pm 0.333 0.667 0.430

---

12.
First-principles (PBE) data for a relaxed Ta2FeOsN crystal, as listed in the Alexandria database.

Total moment, μB/cell: 1.17
Fermi-level density of states, states/eV/cell: 4.3
E_form (uncorrected), eV/atom: -0.421

Lattice parameters (Å, degrees): 4.241 4.241 3.740 90.00 90.00 90.00
Each line ends with the local moment (μB).
Sites, in units of the cell vectors:
Os 0.500 0.500 0.500  -0.12
Ta 0.500 0.000 0.000  -0.02
Ta 0.000 0.500 0.000  -0.02
Fe 0.000 0.000 0.500  1.34
N 0.000 0.000 0.000  0.04

---

13.
First-principles (PBE) data for a relaxed Er7Ga2Os2 crystal, as listed in the Alexandria database.

Total moment, μB/cell: 0.00
Fermi-level density of states, states/eV/cell: 5.8
DFT formation energy, eV per atom: -0.23

Lattice parameters (Å, degrees): 6.607 6.959 6.607 90.00 107.82 90.00
Sites, in units of the cell vectors:
Er 0.500 0.252 0.500
Er 0.500 0.260 0.000
Er 0.500 0.740 0.000
Os 0.703 0.000 0.297
Os 0.297 0.000 0.703
Er 0.000 0.260 0.500
Ga 0.168 0.500 0.168
Ga 0.832 0.500 0.832
Er 0.000 0.740 0.500
Er 0.000 0.000 0.000
Er 0.500 0.748 0.500

---

14.
First-principles (PBE) data for a relaxed LiPPdS2 crystal, as listed in the Alexandria database.

Total moment, μB/cell: 0.00
Fermi-level density of states, states/eV/cell: 3.9
E_form (uncorrected), eV/atom: 0.665
Energy relative to the lowest polymorph listed for this composition, eV/atom: 0.407

Lattice parameters (Å, degrees): 4.390 4.390 4.254 90.00 90.00 90.00
Sites, in units of the cell vectors:
Pd 0.500 0.500 0.500
S 0.500 0.000 0.000
Li 0.000 0.000 0.000
P 0.000 0.000 0.500
S 0.000 0.500 0.000

---

15.
First-principles (PBE) data for a relaxed LiZrGaI crystal, as listed in the Alexandria database.

Total moment, μB/cell: 0.00
Fermi-level density of states, states/eV/cell: 5.0
E_form (uncorrected), eV/atom: -0.350
Energy relative to the lowest polymorph listed for this composition, eV/atom: 0.005

Lattice parameters (Å, degrees): 3.483 4.061 14.574 90.00 90.16 90.00
Sites, in units of the cell vectors:
Ga 0.828 0.000 0.738
Zr 0.329 0.500 0.799
I 0.831 0.000 0.465
I 0.831 0.500 0.965
Li 0.826 0.500 0.603
Ga 0.828 0.500 0.238
Li 0.826 0.000 0.103
Zr 0.329 0.000 0.299

---

16.
First-principles (PBE) data for a relaxed SrEu3Pd crystal, as listed in the Alexandria database.

Total moment, μB/cell: 21.70
Fermi-level density of states, states/eV/cell: 34.7
DFT formation energy, eV per atom: -0.28

Lattice parameters (Å, degrees): 5.897 5.897 5.897 90.00 90.00 90.00
Each line ends with the local moment (μB).
Sites, in units of the cell vectors:
Eu 0.000 0.500 0.000  6.89
Pd 0.000 0.000 0.000  -0.08
Eu 0.000 0.000 0.500  6.89
Sr 0.500 0.500 0.500  0.04
Eu 0.500 0.000 0.000  6.89

---

17.
First-principles (PBE) data for a relaxed K3Tm3MgTe8 crystal, as listed in the Alexandria database.

Total moment, μB/cell: 0.00
Fermi-level density of states, states/eV/cell: 11.4
E_form (uncorrected), eV/atom: -1.112

Lattice parameters (Å, degrees): 8.625 8.595 9.895 115.55 90.00 120.12
Sites, in units of the cell vectors:
Tm 0.500 0.500 0.500
K 0.000 0.500 0.000
Mg 0.000 0.000 0.500
Te 0.765 0.529 0.296
Te 0.264 0.528 0.292
Te 0.267 0.031 0.296
K 0.000 0.000 0.000
K 0.500 0.500 0.000
Te 0.733 0.969 0.704
Te 0.764 0.031 0.296
Tm 0.000 0.500 0.500
Te 0.235 0.471 0.704
Tm 0.500 0.000 0.500
Te 0.236 0.969 0.704
Te 0.736 0.472 0.708

---

18.
First-principles (PBE) data for a relaxed Ba2LiTlPd crystal, as listed in the Alexandria database.

Total moment, μB/cell: 0.00
Fermi-level density of states, states/eV/cell: 4.5
Energy relative to the lowest polymorph listed for this composition, eV/atom: 0.000
DFT formation energy, eV per atom: -0.27

Lattice parameters (Å, degrees): 6.215 6.215 4.825 90.00 90.00 90.00
Sites, in units of the cell vectors:
Ba 0.500 0.000 0.000
Pd 0.000 0.000 0.000
Tl 0.500 0.500 0.500
Ba 0.000 0.500 0.000
Li 0.000 0.000 0.500

---

19.
First-principles (PBE) data for a relaxed HoEr2Co crystal, as listed in the Alexandria database.

Total moment, μB/cell: 0.00
Fermi-level density of states, states/eV/cell: 10.1
Energy relative to the lowest polymorph listed for this composition, eV/atom: 0.026
DFT formation energy, eV per atom: -0.16

Lattice parameters (Å, degrees): 3.646 6.220 9.210 90.00 90.00 107.06
Sites, in units of the cell vectors:
Ho 0.584 0.167 0.750
Er 0.859 0.718 0.929
Er 0.141 0.282 0.071
Co 0.749 0.497 0.250
Er 0.141 0.282 0.429
Ho 0.416 0.833 0.250
Co 0.251 0.503 0.750
Er 0.859 0.718 0.571

---

20.
First-principles (PBE) data for a relaxed Si2N2F crystal, as listed in the Alexandria database.

Total moment, μB/cell: 0.00
Fermi-level density of states, states/eV/cell: 0.6
E_form (uncorrected), eV/atom: -0.340
Energy relative to the lowest polymorph listed for this composition, eV/atom: 0.000

Lattice parameters (Å, degrees): 3.633 3.633 4.991 68.66 68.66 90.00
Sites, in units of the cell vectors:
F 0.000 0.000 0.000
N 0.701 0.701 0.597
Si 0.750 0.250 0.500
N 0.299 0.299 0.403
Si 0.250 0.750 0.500

---

21.
First-principles (PBE) data for a relaxed La2Sm3Tm3 crystal, as listed in the Alexandria database.

Total moment, μB/cell: 0.00
Fermi-level density of states, states/eV/cell: 22.7
Energy relative to the lowest polymorph listed for this composition, eV/atom: 0.092
DFT formation energy, eV per atom: 0.12

Lattice parameters (Å, degrees): 3.615 9.051 16.909 90.00 90.00 101.52
Sites, in units of the cell vectors:
Tm 0.424 0.847 0.750
La 0.217 0.433 0.350
La 0.783 0.567 0.850
Sm 0.609 0.217 0.750
La 0.217 0.433 0.150
Sm 0.358 0.716 0.016
Sm 0.642 0.284 0.984
La 0.783 0.567 0.650
Tm 0.993 0.986 0.900
Sm 0.391 0.783 0.250
Sm 0.358 0.716 0.484
Tm 0.007 0.014 0.100
Tm 0.007 0.014 0.400
Tm 0.576 0.153 0.250
Tm 0.993 0.986 0.600
Sm 0.642 0.284 0.516

---

22.
First-principles (PBE) data for a relaxed PrThSn2 crystal, as listed in the Alexandria database.

Total moment, μB/cell: 0.00
Fermi-level density of states, states/eV/cell: 3.0
Energy relative to the lowest polymorph listed for this composition, eV/atom: 0.070
DFT formation energy, eV per atom: -0.59

Lattice parameters (Å, degrees): 3.561 3.561 9.108 90.00 90.00 90.00
Sites, in units of the cell vectors:
Pr 0.500 0.500 0.500
Sn 0.000 0.000 0.249
Th 0.500 0.500 0.000
Sn 0.000 0.000 0.751

---

23.
First-principles (PBE) data for a relaxed ZrReW2 crystal, as listed in the Alexandria database.

Total moment, μB/cell: 0.00
Fermi-level density of states, states/eV/cell: 2.9
Energy relative to the lowest polymorph listed for this composition, eV/atom: 0.176
DFT formation energy, eV per atom: 0.12

Lattice parameters (Å, degrees): 2.813 2.813 9.205 90.00 90.00 110.53
Sites, in units of the cell vectors:
Zr 0.500 0.500 0.250
Re 0.500 0.500 0.750
W 0.000 0.000 0.516
W 0.000 0.000 0.984

---

24.
First-principles (PBE) data for a relaxed CaGeH2O4 crystal, as listed in the Alexandria database.

Total moment, μB/cell: 0.00
DFT total energy, eV per atom: -5.8510
Fermi-level density of states, states/eV/cell: 0.0

Lattice parameters (Å, degrees): 4.397 4.791 4.791 73.98 62.68 62.68
Sites, in units of the cell vectors:
Ca 0.000 0.000 0.000
O 0.950 0.454 0.193
Ge 0.500 0.500 0.500
O 0.597 0.546 0.807
H 0.830 0.670 0.670
O 0.050 0.807 0.546
H 0.170 0.330 0.330
O 0.403 0.193 0.454

---

25.
First-principles (PBE) data for a relaxed AsSe2Cl crystal, as listed in the Alexandria database.

Total moment, μB/cell: 0.00
Fermi-level density of states, states/eV/cell: 1.0
E_form (uncorrected), eV/atom: -0.013
Energy relative to the lowest polymorph listed for this composition, eV/atom: 0.183

Lattice parameters (Å, degrees): 8.393 8.393 8.393 26.67 26.67 26.67
Sites, in units of the cell vectors:
Se 0.103 0.103 0.103
Cl 0.000 0.000 0.000
As 0.500 0.500 0.500
Se 0.897 0.897 0.897